[1]
{
  "formula": "Tm7Hg2Sb2",
  "functional": "PBE",
  "state": "relaxed",
  "lattice": [[7.015, -0.003, -0.339], [0.003, 7.020, 0.003], [-0.776, -0.003, 6.980]],
  "species": ["Tm", "Tm", "Tm", "Tm", "Tm", "Tm", "Tm", "Hg", "Hg", "Sb", "Sb"],
  "fractional_positions": [[0.000, 0.260, 0.500], [0.500, 0.740, 0.000], [0.000, 0.740, 0.500], [0.500, 0.260, 0.000], [0.000, 0.000, 0.000], [0.500, 0.750, 0.500], [0.500, 0.250, 0.500], [0.722, 0.000, 0.278], [0.278, 0.000, 0.722], [0.792, 0.500, 0.792], [0.208, 0.500, 0.208]],
  "energy_ev_per_atom": -3.88,
  "volume_a3_per_cell": 341.9,
  "magmom_total_mub_per_cell": 0.00,
  "crystal_system": "orthorhombic",
  "raw_formation_energy_mev_per_atom": -232
}

---

[2]
{
  "formula": "K2RbLiH",
  "functional": "PBE",
  "state": "relaxed",
  "lattice": [[5.797, 0.000, 0.000], [0.000, 6.192, 0.000], [0.000, 0.000, 5.797]],
  "species": ["H", "K", "K", "Rb", "Li"],
  "fractional_positions": [[0.000, 0.000, 0.000], [0.000, 0.000, 0.500], [0.500, 0.000, 0.000], [0.000, 0.500, 0.000], [0.500, 0.500, 0.500]],
  "energy_ev_per_atom": -1.63,
  "volume_a3_per_cell": 208.1,
  "magmom_total_mub_per_cell": 0.00,
  "crystal_system": "tetragonal"
}

---

[3]
{
  "formula": "LaY2Bi2",
  "functional": "PBE",
  "state": "relaxed",
  "lattice": [[-1.339, 6.515, 5.530], [4.785, -4.066, 5.948], [3.432, 1.930, -1.442]],
  "species": ["Y", "Y", "Y", "Y", "Bi", "Bi", "Bi", "Bi", "La", "La"],
  "fractional_positions": [[0.155, 0.655, 0.500], [0.655, 0.845, 0.500], [0.845, 0.345, 0.500], [0.345, 0.155, 0.500], [0.356, 0.856, 0.000], [0.856, 0.644, 0.000], [0.644, 0.144, 0.000], [0.144, 0.356, 0.000], [0.000, 0.000, 0.000], [0.500, 0.500, 0.000]],
  "energy_ev_per_atom": -5.86,
  "volume_a3_per_cell": 313.7,
  "e_form_kj_per_mol_atoms": -71.4,
  "magmom_total_mub_per_cell": 0.00,
  "crystal_system": "tetragonal"
}

---

[4]
{
  "formula": "PHS",
  "functional": "PBE",
  "state": "relaxed",
  "lattice": [[-0.829, 3.971, -1.393], [-1.413, -0.965, -1.910], [-3.436, -1.256, 3.177]],
  "species": ["P", "H", "S"],
  "fractional_positions": [[0.358, 0.500, 0.386], [0.207, 0.500, 0.613], [0.935, 0.500, 0.025]],
  "energy_ev_per_atom": -4.16,
  "volume_a3_per_cell": 50.6,
  "magmom_total_mub_per_cell": 0.00,
  "crystal_system": "monoclinic"
}

---

[5]
{
  "formula": "NbBSb3",
  "functional": "PBE",
  "state": "relaxed",
  "lattice": [[5.345, 0.000, 0.000], [0.000, 5.345, 0.000], [0.000, 0.000, 5.345]],
  "species": ["Sb", "Sb", "Sb", "Nb", "B"],
  "fractional_positions": [[0.000, 0.500, 0.000], [0.000, 0.000, 0.500], [0.500, 0.000, 0.000], [0.000, 0.000, 0.000], [0.500, 0.500, 0.500]],
  "energy_ev_per_atom": -4.57,
  "volume_a3_per_cell": 152.7,
  "magmom_total_mub_per_cell": 0.00,
  "crystal_system": "cubic",
  "raw_formation_energy_mev_per_atom": 1252
}

---

[6]
{
  "formula": "YHfNbAu2",
  "functional": "PBE",
  "state": "relaxed",
  "lattice": [[-3.133, -3.900, -1.031], [-0.890, -0.576, 4.887], [-3.930, 3.245, -0.333]],
  "species": ["Y", "Hf", "Nb", "Au", "Au"],
  "fractional_positions": [[0.000, 0.000, 0.000], [0.500, 0.500, 0.500], [0.000, 0.500, 0.000], [0.000, 0.000, 0.500], [0.500, 0.000, 0.000]],
  "energy_ev_per_atom": -5.37,
  "volume_a3_per_cell": 130.5,
  "e_form_kj_per_mol_atoms": 119.8,
  "magmom_total_mub_per_cell": 0.00,
  "crystal_system": "tetragonal"
}

---

[7]
{
  "formula": "I3Br",
  "functional": "PBE",
  "state": "relaxed",
  "lattice": [[5.455, 0.000, 0.000], [0.000, 5.455, 0.000], [2.727, 2.727, 10.610]],
  "species": ["I", "I", "I", "I", "I", "I", "Br", "Br"],
  "fractional_positions": [[0.649, 0.125, 0.250], [0.101, 0.625, 0.250], [0.375, 0.351, 0.750], [0.875, 0.899, 0.750], [0.000, 0.000, 0.000], [0.750, 0.250, 0.500], [0.500, 0.500, 0.000], [0.250, 0.750, 0.500]],
  "energy_ev_per_atom": -1.17,
  "volume_a3_per_cell": 315.7,
  "magmom_total_mub_per_cell": 0.00,
  "crystal_system": "tetragonal",
  "raw_formation_energy_mev_per_atom": 410
}

---

[8]
{
  "formula": "PmTm2SnRh4",
  "functional": "PBE",
  "state": "relaxed",
  "lattice": [[-1.830, -2.185, 3.826], [2.418, -3.526, 2.117], [3.717, 3.310, 6.643]],
  "species": ["Pm", "Tm", "Tm", "Sn", "Rh", "Rh", "Rh", "Rh"],
  "fractional_positions": [[0.000, 0.000, 0.000], [0.756, 0.756, 0.733], [0.244, 0.244, 0.267], [0.500, 0.500, 0.500], [0.380, 0.380, 0.860], [0.874, 0.874, 0.377], [0.126, 0.126, 0.623], [0.620, 0.620, 0.140]],
  "energy_ev_per_atom": -6.69,
  "volume_a3_per_cell": 154.3,
  "e_form_kj_per_mol_atoms": -77.0,
  "magmom_total_mub_per_cell": 0.00,
  "crystal_system": "trigonal"
}

---

[9]
{
  "formula": "Ag2IF",
  "functional": "PBE",
  "state": "relaxed",
  "lattice": [[6.378, 0.000, 0.000], [-3.189, 9.774, 0.000], [0.000, 0.000, 6.977]],
  "species": ["Ag", "Ag", "Ag", "Ag", "Ag", "Ag", "Ag", "Ag", "I", "I", "I", "I", "F", "F", "F", "F"],
  "fractional_positions": [[0.557, 0.114, 0.284], [0.443, 0.886, 0.716], [0.943, 0.886, 0.784], [0.057, 0.114, 0.216], [0.611, 0.723, 0.250], [0.889, 0.277, 0.750], [0.389, 0.277, 0.750], [0.111, 0.723, 0.250], [0.669, 0.338, 0.061], [0.331, 0.662, 0.939], [0.831, 0.662, 0.561], [0.169, 0.338, 0.439], [0.947, 0.894, 0.131], [0.053, 0.106, 0.869], [0.553, 0.106, 0.631], [0.447, 0.894, 0.369]],
  "energy_ev_per_atom": -2.89,
  "volume_a3_per_cell": 435.0,
  "magmom_total_mub_per_cell": 0.00,
  "crystal_system": "orthorhombic",
  "raw_formation_energy_mev_per_atom": -609
}

---

[10]
{
  "formula": "Dy6ZnRu5",
  "functional": "PBE",
  "state": "relaxed",
  "lattice": [[-3.353, -3.493, 0.196], [0.985, -1.319, -6.654], [6.795, -3.079, 1.616]],
  "species": ["Ru", "Ru", "Ru", "Ru", "Ru", "Zn", "Dy", "Dy", "Dy", "Dy", "Dy", "Dy"],
  "fractional_positions": [[0.666, 0.500, 0.333], [0.337, 0.000, 0.673], [0.000, 0.500, 0.000], [0.663, 0.000, 0.327], [0.334, 0.500, 0.667], [0.000, 0.000, 0.000], [0.830, 0.747, 0.660], [0.830, 0.253, 0.660], [0.500, 0.259, 0.000], [0.500, 0.741, 0.000], [0.170, 0.747, 0.340], [0.170, 0.253, 0.340]],
  "energy_ev_per_atom": -6.64,
  "volume_a3_per_cell": 240.5,
  "e_form_kj_per_mol_atoms": -35.6,
  "magmom_total_mub_per_cell": 0.00,
  "crystal_system": "monoclinic"
}

---

[11]
{
  "formula": "TbSm6Tl6",
  "functional": "PBE",
  "state": "relaxed",
  "lattice": [[6.503, -0.001, 0.000], [-3.251, 5.632, 0.000], [0.000, 0.000, 10.813]],
  "species": ["Tb", "Sm", "Sm", "Sm", "Sm", "Sm", "Sm", "Tl", "Tl", "Tl", "Tl", "Tl", "Tl"],
  "fractional_positions": [[0.000, 0.000, 0.000], [0.000, 0.000, 0.667], [0.000, 0.000, 0.333], [0.333, 0.667, 0.000], [0.667, 0.333, 0.000], [0.333, 0.667, 0.500], [0.667, 0.333, 0.500], [0.000, 0.500, 0.753], [0.500, 0.000, 0.753], [0.500, 0.500, 0.753], [0.500, 0.000, 0.247], [0.000, 0.500, 0.247], [0.500, 0.500, 0.247]],
  "energy_ev_per_atom": -3.83,
  "volume_a3_per_cell": 396.0,
  "e_form_kj_per_mol_atoms": -19.6,
  "magmom_total_mub_per_cell": 1.74,
  "crystal_system": "hexagonal"
}

---

[12]
{
  "formula": "RbNaMgPb",
  "functional": "PBE",
  "state": "relaxed",
  "lattice": [[5.621, 0.000, 0.000], [2.810, 4.868, 0.000], [2.810, 1.623, 4.589]],
  "species": ["Pb", "Na", "Mg", "Rb"],
  "fractional_positions": [[0.750, 0.750, 0.750], [0.000, 0.000, 0.000], [0.500, 0.500, 0.500], [0.250, 0.250, 0.250]],
  "energy_ev_per_atom": -1.91,
  "volume_a3_per_cell": 125.6,
  "e_form_kj_per_mol_atoms": -1.6,
  "magmom_total_mub_per_cell": 0.00,
  "crystal_system": "cubic"
}